DFT (SCAN) results for a PBEsol-optimized structure of POs3S.

## Properties
* formation energy from raw total energies: 1.656 eV per atom

abc: 4.3067 4.3067 4.3067
angles: 90.00 90.00 90.00
Last column: nearest neighbours and their distance in Å.
Space group Pm-3m (No. 221)
One atom of each set of equivalent atoms:
P1 0.0000 0.0000 0.0000 x1  12 Os 3.05
Os1 0.0000 0.5000 0.5000 x3  2 S 2.15
S1 0.5000 0.5000 0.5000 x1  6 Os 2.15